Entry 1:
Density functional theory data (PBE) for crystalline Sr2Pd at its relaxed geometry.

Geometry as POSCAR:
```
Sr2Pd
1.0
6.9436 -2.1204 0.0000
6.9436 2.1204 0.0000
-5.6253 0.0000 7.3766
Sr Pd
4 2
direct
0.0742 0.0742 0.3822
0.3192 0.3192 0.9110
0.6808 0.6808 0.0890
0.9258 0.9258 0.6178
0.3859 0.3859 0.3191
0.6141 0.6141 0.6809
```

VASP energy ... -3.318 eV/atom
DOS(E_F) ... 1.82 states/eV/f.u.
Symmetry ... C2/m, No. 12
Density ... 4.31 g/cm3



Entry 2:
Density functional theory data (PBE) for crystalline PmTlRuRh at its relaxed geometry.

Geometry as POSCAR:
```
PmTlRuRh
1.0
0.0000 3.3881 3.3881
3.3881 0.0000 3.3881
3.3881 3.3881 0.0000
Pm Tl Ru Rh
1 1 1 1
direct
0.0000 0.0000 0.0000
0.5000 0.5000 0.5000
0.2500 0.2500 0.2500
0.7500 0.7500 0.7500
```

VASP energy ... -6.072 eV/atom
DOS(E_F) ... 4.05 states/eV/f.u.
Symmetry ... F-43m, No. 216
Density ... 11.81 g/cm3



Entry 3:
Density functional theory data (PBE) for crystalline AlV4Cr at its relaxed geometry.

Geometry as POSCAR:
```
AlV4Cr
1.0
4.4591 -2.1285 0.0000
4.4591 2.1285 0.0000
-2.9781 0.0000 4.2239
Al V Cr
1 4 1
direct
0.0000 0.0000 0.0000
0.3164 0.3164 0.6442
0.3451 0.3451 0.1692
0.6549 0.6549 0.8308
0.6836 0.6836 0.3558
0.0000 0.0000 0.5000
```

Distance to the lowest polymorph of the same formula ... 0 meV per atom
DOS(E_F) ... 7.79 states/eV/f.u.
Symmetry ... C2/m, No. 12
Density ... 5.86 g/cm3



Entry 4:
Density functional theory data (PBE) for crystalline MnHgOs at its relaxed geometry.

Geometry as POSCAR:
```
MnHgOs
1.0
0.0000 2.9734 2.9734
2.9734 0.0000 2.9734
2.9734 2.9734 0.0000
Mn Hg Os
1 1 1
direct
0.0000 0.0000 0.0000
0.7500 0.7500 0.7500
0.2500 0.2500 0.2500
```

Distance to the lowest polymorph of the same formula ... 460 meV per atom
DOS(E_F) ... 4.64 states/eV/f.u.
Symmetry ... F-43m, No. 216
Density ... 14.08 g/cm3



Entry 5:
Density functional theory data (PBE) for crystalline GeCI3 at its relaxed geometry.

Geometry as POSCAR:
```
GeCI3
1.0
5.7402 0.0000 0.0000
0.0000 5.7402 0.0000
0.0000 0.0000 5.7402
Ge C I
1 1 3
direct
0.0000 0.0000 0.0000
0.5000 0.5000 0.5000
0.0000 0.0000 0.5000
0.0000 0.5000 0.0000
0.5000 0.0000 0.0000
```

Raw formation energy ... 1479 meV per atom
Distance to the lowest polymorph of the same formula ... 314 meV per atom
DOS(E_F) ... 6.42 states/eV/f.u.
Symmetry ... Pm-3m, No. 221
Density ... 4.09 g/cm3



Entry 6:
Density functional theory data (PBE) for crystalline ZrSi2Pt at its relaxed geometry.

Geometry as POSCAR:
```
ZrSi2Pt
1.0
-1.9346 1.9346 4.4600
1.9346 -1.9346 4.4600
1.9346 1.9346 -4.4600
Zr Si Pt
1 2 1
direct
0.0000 0.0000 0.0000
0.2500 0.7500 0.5000
0.7500 0.2500 0.5000
0.5000 0.5000 0.0000
```

Raw formation energy ... -309 meV per atom
DOS(E_F) ... 2.02 states/eV/f.u.
Symmetry ... I4/mmm, No. 139
Density ... 8.52 g/cm3